Cs2TaPdBr6, relaxed, DFT GGA-PBE; VASP energy = -38.59 eV for the cell shown; formation energy (no corrections) = -9.80 eV per formula unit; DOS(E_F) = 16.248 states/eV per cell; space-group type = I4/mmm (139)
1.0
7.7440 0.0000 0.0000
0.0000 7.7440 0.0000
3.8720 3.8720 5.4901
Cs Br Pd Ta
2 6 1 1
Direct
0.7500 0.2500 0.5000
0.2500 0.7500 0.5000
0.2384 0.2384 0.5233
0.7616 0.7616 0.4767
0.2389 0.2389 0.0000
0.7611 0.7611 0.0000
0.7611 0.2389 0.0000
0.2389 0.7611 0.0000
0.5000 0.5000 0.0000
0.0000 0.0000 0.0000